Run A
This record from the Alexandria database describes a geometry-optimized Pu2Pt2Rh structure. The functional is GGA-PBE.

Lattice parameters (Å, degrees): 5.1433 5.1433 9.6724 92.64 92.64 48.64
Last column: magnetic moment on the atom in μB.
Fractional positions:
Pu (0.5648, 0.0648, 0.1527)  4.98
Pu (0.9352, 0.4352, 0.3473)  4.98
Pu (0.4352, 0.9352, 0.8473)  4.98
Pu (0.0648, 0.5648, 0.6527)  4.98
Pt (0.6494, 0.1494, 0.4568)  -0.10
Pt (0.8506, 0.3506, 0.0432)  -0.10
Pt (0.3506, 0.8506, 0.5432)  -0.10
Pt (0.1494, 0.6494, 0.9568)  -0.10
Rh (0.2500, 0.7500, 0.2500)  -0.35
Rh (0.7500, 0.2500, 0.7500)  -0.35

For the density, the calculation gives 16.986 g cm⁻³. The calculation puts the density of states at the Fermi level at 14.50 states/eV/f.u. Its crystal system is monoclinic.

Run B
This record from the Alexandria database describes a geometry-optimized Pu2Pt2Rh structure. The functional is GGA-PBE.

Lattice parameters (Å, degrees): 4.6029 5.4166 5.4724 119.66 114.87 90.00
Last column: magnetic moment on the atom in μB.
Fractional positions:
Pu (0.8091, 0.3091, 0.6182)  5.24
Pu (0.1909, 0.6909, 0.3818)  5.24
Pt (0.5000, 0.7429, 0.0000)  -0.09
Pt (0.5000, 0.2571, 0.0000)  -0.09
Rh (0.0000, 0.0000, 0.0000)  -0.30

For the density, the calculation gives 15.703 g cm⁻³. The calculation puts the density of states at the Fermi level at 17.03 states/eV/f.u. Its crystal system is orthorhombic.

Which of them is most stable, and which least? Most stable: run B; least stable: run A.

Run A
This record from the Alexandria database describes a geometry-optimized Pu7Pt2Rh2 structure. The functional is GGA-PBE.

Lattice parameters (Å, degrees): 6.5683 6.6972 6.5683 90.04 107.76 89.96
Last column: magnetic moment on the atom in μB.
Fractional positions:
Pu (0.9999, 0.2856, 0.5000)  5.33
Pu (0.5000, 0.7144, 0.9999)  5.33
Pu (0.0001, 0.7144, 0.5000)  5.33
Pu (0.5000, 0.2856, 0.0001)  5.33
Pu (0.0000, 0.0000, 0.0000)  -5.31
Pu (0.5002, 0.7348, 0.4998)  5.34
Pu (0.4998, 0.2652, 0.5002)  5.34
Pt (0.8268, 0.5000, 0.8268)  -0.02
Pt (0.1732, 0.5000, 0.1732)  -0.02
Rh (0.7141, 0.0001, 0.2859)  -0.23
Rh (0.2859, 0.9999, 0.7141)  -0.23

For the density, the calculation gives 13.904 g cm⁻³. The calculation puts the density of states at the Fermi level at 53.78 states/eV/f.u. Its crystal system is orthorhombic.

Run B
This record from the Alexandria database describes a geometry-optimized Pu7Pt2Rh2 structure. The functional is GGA-PBE.

Lattice parameters (Å, degrees): 4.5794 8.3089 8.3089 55.26 74.00 74.00
Last column: magnetic moment on the atom in μB.
Fractional positions:
Pu (0.8196, 0.0575, 0.3032)  -4.83
Pu (0.8729, 0.4331, 0.8210)  -5.18
Pu (0.5000, 0.0004, 0.9996)  5.20
Pu (0.6346, 0.5346, 0.1962)  4.79
Pu (0.3654, 0.8038, 0.4654)  4.79
Pu (0.1804, 0.6968, 0.9425)  -4.83
Pu (0.1271, 0.1790, 0.5669)  -5.18
Pt (0.0000, 0.6592, 0.3408)  -0.05
Pt (0.5000, 0.3730, 0.6270)  -0.01
Rh (0.7161, 0.8422, 0.7257)  0.17
Rh (0.2839, 0.2743, 0.1578)  0.17

For the density, the calculation gives 15.495 g cm⁻³. The calculation puts the density of states at the Fermi level at 56.42 states/eV/f.u. Its crystal system is orthorhombic.

Which of them is most stable, and which least? Most stable: run B; least stable: run A.

Run A
This record from the Alexandria database describes a geometry-optimized Pu3PtRh structure. The functional is GGA-PBE.

Lattice parameters (Å, degrees): 6.8857 6.8857 6.8857 90.00 90.00 90.00
Last column: magnetic moment on the atom in μB.
Fractional positions:
Pu (0.5000, 0.5000, 0.5000)  -4.71
Pu (0.2414, 0.2414, 0.2414)  5.14
Pu (0.7586, 0.7586, 0.2414)  5.14
Pu (0.7586, 0.2414, 0.7586)  5.14
Pu (0.2414, 0.7586, 0.7586)  5.14
Pu (0.2414, 0.2414, 0.7586)  5.14
Pu (0.7586, 0.7586, 0.7586)  5.14
Pu (0.2414, 0.7586, 0.2414)  5.14
Pu (0.7586, 0.2414, 0.2414)  5.14
Pt (0.0000, 0.5000, 0.5000)  -0.07
Pt (0.5000, 0.0000, 0.5000)  -0.07
Pt (0.5000, 0.5000, 0.0000)  -0.07
Rh (0.5000, 0.0000, 0.0000)  -0.34
Rh (0.0000, 0.5000, 0.0000)  -0.34
Rh (0.0000, 0.0000, 0.5000)  -0.34

For the density, the calculation gives 15.717 g cm⁻³. The calculation puts the density of states at the Fermi level at 21.89 states/eV/f.u. Its crystal system is cubic.

Run B
This record from the Alexandria database describes a geometry-optimized Pu3PtRh structure. The functional is GGA-PBE.

Lattice parameters (Å, degrees): 3.4786 8.3047 5.3699 90.00 49.68 90.00
Last column: magnetic moment on the atom in μB.
Fractional positions:
Pu (0.4894, 0.3260, 0.8208)  5.42
Pu (0.4895, 0.9639, 0.8208)  5.42
Pu (0.9927, 0.6450, 0.3216)  5.19
Pt (0.4902, 0.1450, 0.3205)  -0.06
Rh (0.9920, 0.6450, 0.8217)  -0.28

For the density, the calculation gives 14.461 g cm⁻³. The calculation puts the density of states at the Fermi level at 21.19 states/eV/f.u. Its crystal system is orthorhombic.

Which of them is most stable, and which least? Most stable: run A; least stable: run B.

Run A
This record from the Alexandria database describes a geometry-optimized SmPuPtRh structure. The functional is GGA-PBE.

Lattice parameters (Å, degrees): 4.9526 4.9526 4.9526 60.00 60.00 60.00
Last column: magnetic moment on the atom in μB.
Fractional positions:
Rh (0.7500, 0.7500, 0.7500)  -0.18
Sm (0.0000, 0.0000, 0.0000)  0.10
Pt (0.2500, 0.2500, 0.2500)  -0.05
Pu (0.5000, 0.5000, 0.5000)  5.17

For the density, the calculation gives 13.384 g cm⁻³. The calculation puts the density of states at the Fermi level at 10.70 states/eV/f.u. Its crystal system is cubic.

Run B
This record from the Alexandria database describes a geometry-optimized SmPuPtRh structure. The functional is GGA-PBE.

Lattice parameters (Å, degrees): 3.8561 4.2212 5.8472 90.00 109.25 90.00
Last column: magnetic moment on the atom in μB.
Fractional positions:
Sm (0.1441, 0.0000, 0.2882)  0.07
Pu (0.8652, 0.5000, 0.7303)  5.10
Pt (0.5856, 0.5000, 0.1711)  0.00
Rh (0.4052, 0.0000, 0.8104)  -0.26

For the density, the calculation gives 12.795 g cm⁻³. The calculation puts the density of states at the Fermi level at 11.56 states/eV/f.u. Its crystal system is orthorhombic.

Which of them is most stable, and which least? Most stable: run B; least stable: run A.

Run A
This record from the Alexandria database describes a geometry-optimized Pu4RuPt2 structure. The functional is GGA-PBE.

Lattice parameters (Å, degrees): 5.9611 5.9611 5.9611 108.34 110.04 110.04
Last column: magnetic moment on the atom in μB.
Fractional positions:
Pu (0.5000, 0.0000, 0.0000)  5.29
Pu (0.5000, 0.5000, 0.5000)  5.29
Pu (0.0000, 0.0000, 0.5000)  5.29
Pu (0.0000, 0.5000, 0.0000)  5.29
Ru (0.0000, 0.0000, 0.0000)  -0.87
Pt (0.5000, 0.5000, 0.0000)  -0.08
Pt (0.5000, 0.0000, 0.5000)  -0.08

For the density, the calculation gives 14.946 g cm⁻³. The calculation puts the density of states at the Fermi level at 26.60 states/eV/f.u. Its crystal system is tetragonal.

Run B
This record from the Alexandria database describes a geometry-optimized Pu4RuPt2 structure. The functional is GGA-PBE.

Lattice parameters (Å, degrees): 4.2209 6.9287 7.2370 118.88 106.95 90.00
Last column: magnetic moment on the atom in μB.
Fractional positions:
Pu (0.8802, 0.2377, 0.7603)  -5.17
Pu (0.1198, 0.7623, 0.2397)  -5.17
Pu (0.6103, 0.2848, 0.2205)  4.96
Pu (0.3897, 0.7152, 0.7795)  4.96
Ru (0.0000, 0.0000, 0.0000)  -0.27
Pt (0.7584, 0.7583, 0.5169)  0.01
Pt (0.2416, 0.2417, 0.4831)  0.01

For the density, the calculation gives 13.943 g cm⁻³. The calculation puts the density of states at the Fermi level at 42.09 states/eV/f.u. Its crystal system is monoclinic.

Which of them is most stable, and which least? Most stable: run A; least stable: run B.

Run A
This record from the Alexandria database describes a geometry-optimized Pu2PtS structure. The functional is GGA-PBE.

Lattice parameters (Å, degrees): 4.1245 3.9521 11.3708 100.01 90.00 90.00
Last column: magnetic moment on the atom in μB.
Fractional positions:
Pu (0.7500, 0.6831, 0.3661)  5.48
Pu (0.2500, 0.3169, 0.6339)  5.48
Pu (0.7500, 0.9323, 0.8645)  5.29
Pu (0.2500, 0.0677, 0.1355)  5.29
Pt (0.2500, 0.4551, 0.9101)  -0.08
Pt (0.7500, 0.5449, 0.0899)  -0.08
S (0.2500, 0.1922, 0.3845)  -0.12
S (0.7500, 0.8078, 0.6155)  -0.12

For the density, the calculation gives 13.012 g cm⁻³. The calculation puts the density of states at the Fermi level at 17.67 states/eV/f.u. Its crystal system is orthorhombic.

Run B
This record from the Alexandria database describes a geometry-optimized Pu2PtS structure. The functional is GGA-PBE.

Lattice parameters (Å, degrees): 5.7330 5.7331 11.5576 90.00 90.00 90.00
Last column: magnetic moment on the atom in μB.
Fractional positions:
Pu (0.7493, 0.0000, 0.8786)  5.31
Pu (0.2507, 0.0000, 0.1214)  5.31
Pu (0.7493, 0.5000, 0.6214)  5.31
Pu (0.2507, 0.5000, 0.3786)  5.31
Pu (0.7510, 0.4999, 0.1286)  5.31
Pu (0.2490, 0.5001, 0.8714)  5.31
Pu (0.7510, 0.0001, 0.3714)  5.31
Pu (0.2490, 0.9999, 0.6286)  5.31
Pt (0.2510, 0.0000, 0.3750)  -0.10
Pt (0.7490, 0.0000, 0.6250)  -0.10
Pt (0.2510, 0.5000, 0.1250)  -0.10
Pt (0.7490, 0.5000, 0.8750)  -0.10
S (0.2492, 0.4999, 0.6250)  -0.11
S (0.7508, 0.5001, 0.3750)  -0.11
S (0.2492, 0.0001, 0.8750)  -0.11
S (0.7508, 0.9999, 0.1250)  -0.11

For the density, the calculation gives 12.505 g cm⁻³. The calculation puts the density of states at the Fermi level at 17.85 states/eV/f.u. Its crystal system is orthorhombic.

Run C
This record from the Alexandria database describes a geometry-optimized Pu2PtS structure. The functional is GGA-PBE.

Lattice parameters (Å, degrees): 3.4517 3.4517 7.0846 90.00 90.00 90.00
Last column: magnetic moment on the atom in μB.
Fractional positions:
S (0.5000, 0.5000, 0.0000)  -0.10
Pt (0.5000, 0.5000, 0.5000)  -0.05
Pu (0.0000, 0.0000, 0.7559)  5.47
Pu (0.0000, 0.0000, 0.2441)  5.47

For the density, the calculation gives 14.069 g cm⁻³. The calculation puts the density of states at the Fermi level at 15.86 states/eV/f.u. Its crystal system is tetragonal.

Run D
This record from the Alexandria database describes a geometry-optimized Pu2PtS structure. The functional is GGA-PBE.

Lattice parameters (Å, degrees): 3.8384 3.8384 7.7771 75.71 75.71 60.00
Last column: magnetic moment on the atom in μB.
Fractional positions:
Pu (0.0830, 0.0830, 0.7510)  -5.11
Pu (0.2505, 0.2505, 0.2484)  5.22
Pt (0.6676, 0.6676, 0.9971)  0.01
S (0.4988, 0.4988, 0.5035)  0.01

For the density, the calculation gives 12.485 g cm⁻³. The calculation puts the density of states at the Fermi level at 18.78 states/eV/f.u. Its crystal system is trigonal.

Which of them is most stable, and which least? Most stable: run A; least stable: run D.